Entry from the Alexandria database: a relaxed structure of SrFe2AsN (PBE).

The structure belongs to space group Cmcm (No. 63); the cell edges are 3.917, 10.703 and 6.908 Å and the angles 90.00°, 90.00° and 90.00°. Symmetry generates all atoms from Sr at (0.000, 0.050, 0.250), Fe at (0.000, 0.341, 0.057), As at (0.000, 0.229, 0.750) and N at (0.000, 0.500, 0.000).

Its raw formation energy is -234 kJ/mol of formula units.